{
  "formula": "Rb4Ac3GaO8",
  "functional": "PBE",
  "state": "optimized geometry",
  "dft_energy_ev_per_fu": -93.8,
  "formation_energy_uncorrected_kj_per_mol_atoms": -210.5,
  "magmom_total_mub_per_cell": 0.0,
  "cell": [[6.775, -3.652, 0.000], [6.775, 3.652, 0.000], [-3.832, 0.000, 6.738]],
  "species": ["Rb", "Rb", "Rb", "Rb", "Ac", "Ac", "Ac", "Ga", "O", "O", "O", "O", "O", "O", "O", "O"],
  "fractional_positions": [[0.000, 0.000, 0.000], [0.000, 0.500, 0.000], [0.500, 0.000, 0.000], [0.500, 0.500, 0.000], [0.000, 0.000, 0.500], [0.000, 0.500, 0.500], [0.500, 0.000, 0.500], [0.500, 0.500, 0.500], [0.212, 0.212, 0.685], [0.220, 0.220, 0.267], [0.272, 0.671, 0.650], [0.329, 0.728, 0.350], [0.671, 0.272, 0.650], [0.728, 0.329, 0.350], [0.780, 0.780, 0.733], [0.788, 0.788, 0.315]]
}